CoH4C2O6: optimized geometry, PBE+U.

a b c (Å): 5.511 7.109 8.056
angles (deg): 82.02 70.00 67.20
Each line ends with the local moment (μB).
Fractional coordinates of all 26 atoms:
Co (0.607, 0.250, 0.750)  2.73
Co (0.393, 0.750, 0.250)  2.73
H (0.501, 0.647, 0.642)  0.00
H (0.790, 0.853, 0.858)  0.00
H (0.210, 0.147, 0.142)  0.00
H (0.499, 0.353, 0.358)  0.00
H (0.356, 0.647, 0.856)  0.00
H (0.859, 0.853, 0.644)  0.00
H (0.644, 0.353, 0.144)  0.00
H (0.141, 0.147, 0.356)  0.00
C (0.945, 0.750, 0.147)  0.00
C (0.055, 0.250, 0.853)  0.00
C (0.159, 0.250, 0.647)  0.00
C (0.841, 0.750, 0.353)  0.00
O (0.402, 0.250, 0.570)  0.03
O (0.779, 0.750, 0.070)  0.03
O (0.221, 0.250, 0.930)  0.03
O (0.598, 0.750, 0.430)  0.03
O (0.445, 0.564, 0.747)  0.03
O (0.756, 0.936, 0.753)  0.03
O (0.244, 0.064, 0.247)  0.03
O (0.555, 0.436, 0.253)  0.03
O (0.812, 0.252, 0.930)  0.03
O (0.994, 0.248, 0.570)  0.03
O (0.188, 0.748, 0.070)  0.03
O (0.006, 0.752, 0.430)  0.03

Results
* electronic total energy: -0.459 Ry/atom
* DOS at the Fermi energy: 0.000 states/eV per cell